ZnTeSe2 | the Alexandria database | PBE | optimized geometry; space-group type = P4/mmm (123); formation energy (no corrections) = -11 kJ/mol of formula units; E = -11.50 eV for the cell shown; density = 6.2 Mg/m³; energy above the most stable polymorph in this dataset = 95.8 meV/atom; N(E_F) = 2.6 states/eV/cell
1.0
3.989 0.000 0.000
0.000 3.992 0.002
0.000 -0.005 5.913
Se Zn Te
2 1 1
Cartesian
0.000 0.000 0.000
1.994 1.996 0.001
0.000 -0.002 2.957
1.994 1.994 2.958